1.
DFT (PBE) results for an optimized crystal structure of TmLuFeSi2.

Unit cell a=5.528 b=5.528 c=9.780 alpha=116.80 beta=116.80 gamma=43.44
Positions (direct):
Tm1 0.999 0.999 0.828
Tm2 0.001 0.001 0.172
Si1 0.652 0.652 0.064
Si2 0.348 0.348 0.936
Si3 0.498 0.498 0.626
Si4 0.502 0.502 0.374
Lu1 0.812 0.812 0.391
Lu2 0.188 0.188 0.609
Fe1 0.729 0.729 0.875
Fe2 0.271 0.271 0.125

## Properties
V   17.97 A^3/atom
Symmetry   C2/m, No. 12
Total moment   0.141 Bohr magnetons per cell
Calculated total energy   -6.359 eV per atom
Offset from the most stable computed form   6.1 meV/atom

=====

2.
DFT (PBE) results for an optimized crystal structure of TmLuFeSi2.

Unit cell a=5.514 b=5.514 c=9.770 alpha=116.60 beta=116.60 gamma=43.57
Positions (direct):
Lu1 0.000 0.000 0.329
Lu2 0.000 0.000 0.671
Si1 0.349 0.349 0.437
Si2 0.651 0.651 0.563
Si3 0.498 0.498 0.127
Si4 0.502 0.502 0.873
Tm1 0.189 0.189 0.109
Tm2 0.811 0.811 0.891
Fe1 0.270 0.270 0.625
Fe2 0.730 0.730 0.375

## Properties
V   17.94 A^3/atom
Symmetry   C2/m, No. 12
Total moment   0.060 Bohr magnetons per cell
Calculated total energy   -6.365 eV per atom
Offset from the most stable computed form   0.0 meV/atom